The following is a DFT calculation (PBE) of a geometry-optimized AcDyErGa structure.

Cell lengths 7.725, 7.725, 7.725 Å; angles 90.00, 90.00, 90.00 degrees
Space group F-43m (No. 216)
Unique sites:
Ac (0.000, 0.000, 0.000)
Dy (0.250, 0.250, 0.250)
Er (0.250, 0.250, 0.750)
Ga (0.000, 0.000, 0.500)

Calculated values
The calculation puts the calculated formation energy at 69 meV/atom.

The following is a DFT calculation (PBE) of a geometry-optimized KSr2Cl2 structure.

Cell lengths 5.289, 5.289, 14.752 Å; angles 90.00, 90.00, 90.00 degrees
Space group I4/mmm (No. 139)
Unique sites:
K (0.000, 0.000, 0.000)
Sr (0.000, 0.000, 0.355)
Cl (0.000, 0.500, 0.250)

Calculated values
The value obtained for the uncorrected formation energy is -1.35 eV/atom.

The following is a DFT calculation (PBE) of a geometry-optimized CsAl2Se2 structure.

Cell lengths 5.113, 5.113, 10.039 Å; angles 90.00, 90.00, 90.00 degrees
Space group I4/mmm (No. 139)
Unique sites:
Cs (0.000, 0.000, 0.000)
Al (0.000, 0.000, 0.351)
Se (0.000, 0.500, 0.250)

Calculated values
The value obtained for the uncorrected formation energy is -0.52 eV/atom.

The following is a DFT calculation (PBE) of a geometry-optimized Rb2YGaO4 structure.

Cell lengths 5.575, 12.735, 22.545 Å; angles 90.00, 90.00, 90.00 degrees
Space group Fddd (No. 70, origin choice 2)
Unique sites:
Rb (0.125, 0.125, 0.311)
Y (0.125, 0.125, 0.125)
Ga (0.125, 0.125, 0.625)
O (0.094, 0.285, 0.834)

Calculated values
The value obtained for the uncorrected formation energy is -1.91 eV/atom.

The following is a DFT calculation (PBE) of a geometry-optimized Cs2HgBi structure.

Cell lengths 9.273, 9.273, 9.273 Å; angles 90.00, 90.00, 90.00 degrees
Space group Fm-3m (No. 225)
Unique sites:
Cs (0.250, 0.250, 0.250)
Hg (0.000, 0.000, 0.000)
Bi (0.000, 0.000, 0.500)

Calculated values
The calculation puts the calculated formation energy at -220 meV/atom. The energy above the most stable polymorph in this dataset is 115.7 meV per atom.

The following is a DFT calculation (PBE) of a geometry-optimized MgTe2Pd9 structure.

Cell lengths 4.059, 4.059, 12.076 Å; angles 90.00, 90.00, 90.00 degrees
Space group P4/mmm (No. 123)
Unique sites:
Mg (0.000, 0.000, 0.000)
Te (0.000, 0.000, 0.322)
Pd (0.000, 0.500, 0.163)
Pd (0.000, 0.500, 0.500)
Pd (0.500, 0.500, 0.000)
Pd (0.500, 0.500, 0.336)

Calculated values
The value obtained for the uncorrected formation energy is -0.30 eV/atom.

The following is a DFT calculation (PBE) of a geometry-optimized LaPr4Ho2Tm2 structure.

Cell lengths 15.383, 5.119, 8.103 Å; angles 90.00, 108.00, 90.00 degrees
Space group C2/m (No. 12)
Unique sites:
La (0.000, 0.000, 0.000)
Pr (0.054, 0.500, 0.332)
Pr (0.223, 0.000, 0.330)
Ho (0.112, 0.000, 0.667)
Tm (0.169, 0.500, 0.998)

Calculated values
The calculation puts the calculated formation energy at 24 meV/atom.

The following is a DFT calculation (PBE) of a geometry-optimized Li2Tb3Cu9 structure.

Cell lengths 4.244, 8.615, 12.539 Å; angles 90.00, 90.00, 90.00 degrees
Space group Immm (No. 71)
Unique sites:
Li (0.000, 0.194, 0.000)
Tb (0.000, 0.000, 0.209)
Tb (0.000, 0.000, 0.500)
Cu (0.000, 0.286, 0.370)
Cu (0.000, 0.355, 0.167)
Cu (0.000, 0.500, 0.500)

Calculated values
The calculation puts the calculated formation energy at -167 meV/atom.

The following is a DFT calculation (PBE) of a geometry-optimized DyErZnCu structure.

Cell lengths 7.004, 7.004, 7.004 Å; angles 90.00, 90.00, 90.00 degrees
Space group F-43m (No. 216)
Unique sites:
Dy (0.000, 0.000, 0.000)
Er (0.000, 0.000, 0.500)
Zn (0.250, 0.250, 0.750)
Cu (0.250, 0.250, 0.250)

Calculated values
The calculation puts the calculated formation energy at -296 meV/atom. The energy above the most stable polymorph in this dataset is 8.0 meV per atom.

The following is a DFT calculation (PBE) of a geometry-optimized Tl2CdGaHg2 structure.

Cell lengths 6.559, 14.976, 6.685 Å; angles 90.00, 90.00, 90.00 degrees
Space group Ibam (No. 72)
Unique sites:
Tl (0.240, 0.169, 0.000)
Cd (0.000, 0.000, 0.250)
Ga (0.000, 0.500, 0.250)
Hg (0.230, 0.376, 0.000)

Calculated values
The calculation puts the calculated formation energy at 35 meV/atom.